# 1
The following is a DFT calculation (SCAN) of a PBEsol-optimized structure of ReAs2Rh.

size of the total moment	0.00	Bohr magnetons per cell
polymorph energy (0 for the lowest one)	416	meV per atom
N(E_F)	2.96	states/eV/f.u.
energy of formation	0.423	eV per atom

Lattice parameters (Å, degrees): 3.110 4.953 7.877 90.00 90.00 90.00
Space group Immm (No. 71)
One atom of each set of equivalent atoms:
Re 0.000 0.000 0.000
As 0.000 0.500 0.245
Rh 0.000 0.000 0.500

=====

# 2
The following is a DFT calculation (SCAN) of a PBEsol-optimized structure of AsRu3.

size of the total moment	0.00	Bohr magnetons per cell
polymorph energy (0 for the lowest one)	0	meV per atom
N(E_F)	3.06	states/eV/f.u.
energy of formation	0.058	eV per atom

Lattice parameters (Å, degrees): 2.775 3.945 5.167 90.00 103.82 90.00
Space group P2/m (No. 10)
One atom of each set of equivalent atoms:
As 0.000 0.000 0.000
Ru 0.000 0.000 0.500
Ru 0.376 0.500 0.245

=====

# 3
The following is a DFT calculation (SCAN) of a PBEsol-optimized structure of KBa2Sr.

size of the total moment	0.08	Bohr magnetons per cell
polymorph energy (0 for the lowest one)	29	meV per atom
N(E_F)	4.91	states/eV/f.u.
energy of formation	0.082	eV per atom

Lattice parameters (Å, degrees): 4.208 6.996 8.130 90.00 99.24 90.00
Space group Pm (No. 6)
One atom of each set of equivalent atoms:
K 0.000 0.000 0.000
Ba 0.239 0.500 0.743
Ba 0.508 0.000 0.496
Sr 0.787 0.500 0.257

=====

# 4
The following is a DFT calculation (SCAN) of a PBEsol-optimized structure of SrMg2MnP.

size of the total moment	5.77	Bohr magnetons per cell
N(E_F)	2.73	states/eV/f.u.
energy of formation	1.162	eV per atom

Lattice parameters (Å, degrees): 6.015 6.015 5.280 90.00 90.00 90.00
Space group P4/mmm (No. 123)
One atom of each set of equivalent atoms:
Sr 0.000 0.000 0.000
Mg 0.000 0.500 0.000
Mn 0.500 0.500 0.500
P 0.000 0.000 0.500

=====

# 5
The following is a DFT calculation (SCAN) of a PBEsol-optimized structure of BaC3.

size of the total moment	0.00	Bohr magnetons per cell
polymorph energy (0 for the lowest one)	2569	meV per atom
N(E_F)	2.34	states/eV/f.u.
energy of formation	3.420	eV per atom

Lattice parameters (Å, degrees): 4.916 4.916 4.916 90.00 90.00 90.00
Space group Im-3m (No. 229)
One atom of each set of equivalent atoms:
Ba 0.000 0.000 0.000
C 0.000 0.000 0.500

=====

# 6
The following is a DFT calculation (SCAN) of a PBEsol-optimized structure of Zn24In5.

size of the total moment	0.00	Bohr magnetons per cell
N(E_F)	7.53	states/eV/f.u.
energy of formation	0.109	eV per atom

Lattice parameters (Å, degrees): 9.784 9.784 9.784 90.00 90.00 90.00
Space group I-43m (No. 217)
One atom of each set of equivalent atoms:
Zn 0.046 0.370 0.630
Zn 0.099 0.099 0.710
In 0.000 0.000 0.000
In 0.182 0.182 0.182

=====

# 7
The following is a DFT calculation (SCAN) of a PBEsol-optimized structure of RbMnI3.

size of the total moment	5.00	Bohr magnetons per cell
N(E_F)	0.00	states/eV/f.u.
E_form (uncorrected)	-5.43	eV/f.u.

Lattice parameters (Å, degrees): 5.689 5.689 5.689 90.00 90.00 90.00
Space group Pm-3m (No. 221)
One atom of each set of equivalent atoms:
Rb 0.000 0.000 0.000
Mn 0.500 0.500 0.500
I 0.000 0.500 0.500

=====

# 8
The following is a DFT calculation (SCAN) of a PBEsol-optimized structure of AgGeBiC2.

size of the total moment	1.50	Bohr magnetons per cell
N(E_F)	2.80	states/eV/f.u.
energy of formation	2.360	eV per atom

Lattice parameters (Å, degrees): 4.090 4.090 5.697 90.00 90.00 90.00
Space group P4/mmm (No. 123)
One atom of each set of equivalent atoms:
Ag 0.000 0.000 0.000
Ge 0.500 0.500 0.500
Bi 0.000 0.000 0.500
C 0.000 0.500 0.000

=====

# 9
The following is a DFT calculation (SCAN) of a PBEsol-optimized structure of TbAg2.

size of the total moment	0.00	Bohr magnetons per cell
N(E_F)	1.03	states/eV/f.u.
energy of formation	-0.357	eV per atom

Lattice parameters (Å, degrees): 3.676 3.676 9.102 90.00 90.00 90.00
Space group I4/mmm (No. 139)
One atom of each set of equivalent atoms:
Tb 0.000 0.000 0.000
Ag 0.000 0.000 0.329

=====

# 10
The following is a DFT calculation (SCAN) of a PBEsol-optimized structure of LiCuP3O9.

size of the total moment	4.00	Bohr magnetons per cell
polymorph energy (0 for the lowest one)	0	meV per atom
N(E_F)	0.00	states/eV/f.u.
E_form (uncorrected)	-30.46	eV/f.u.

Lattice parameters (Å, degrees): 11.260 6.486 9.565 90.00 93.04 90.00
Space group Cc (No. 9)
One atom of each set of equivalent atoms:
Li 0.000 0.120 0.000
Cu 0.175 0.492 0.034
P 0.221 0.178 0.791
P 0.322 0.240 0.274
P 0.479 0.124 0.785
O 0.024 0.281 0.157
O 0.056 0.370 0.417
O 0.152 0.235 0.918
O 0.177 0.259 0.652
O 0.220 0.068 0.284
O 0.300 0.368 0.146
O 0.343 0.345 0.413
O 0.357 0.232 0.827
O 0.437 0.105 0.243

=====

# 11
The following is a DFT calculation (SCAN) of a PBEsol-optimized structure of ZnCI2O.

size of the total moment	0.02	Bohr magnetons per cell
polymorph energy (0 for the lowest one)	200	meV per atom
N(E_F)	4.18	states/eV/f.u.
E_form (uncorrected)	6.20	eV/f.u.

Lattice parameters (Å, degrees): 5.534 5.534 3.578 90.00 90.00 90.00
Space group P4/mmm (No. 123)
One atom of each set of equivalent atoms:
Zn 0.000 0.000 0.000
C 0.500 0.500 0.500
I 0.000 0.500 0.000
O 0.000 0.000 0.500

=====

# 12
The following is a DFT calculation (SCAN) of a PBEsol-optimized structure of Nd2MoO6.

size of the total moment	0.00	Bohr magnetons per cell
N(E_F)	0.00	states/eV/f.u.
E_form (uncorrected)	-28.49	eV/f.u.

Lattice parameters (Å, degrees): 5.638 5.638 31.498 90.00 90.00 90.00
Space group I4_1/acd (No. 142, origin choice 2)
One atom of each set of equivalent atoms:
Nd 0.000 0.250 0.038
Mo 0.000 0.250 0.375
O 0.170 0.077 0.339
O 0.245 0.000 0.750

=====

# 13
The following is a DFT calculation (SCAN) of a PBEsol-optimized structure of ReTe2C.

size of the total moment	0.08	Bohr magnetons per cell
N(E_F)	3.84	states/eV/f.u.
E_form (uncorrected)	6.27	eV/f.u.

Lattice parameters (Å, degrees): 3.9179 3.9179 20.2933 90.00 90.00 120.00
Space group R-3m (No. 166, hexagonal axes)
One atom of each set of equivalent atoms:
Re 0.0000 0.0000 0.0000
Te 0.0000 0.0000 0.4034
C 0.0000 0.0000 0.5000

=====

# 14
The following is a DFT calculation (SCAN) of a PBEsol-optimized structure of Tm2Mo2C3.

size of the total moment	0.00	Bohr magnetons per cell
N(E_F)	2.30	states/eV/f.u.
energy of formation	-0.432	eV per atom

Lattice parameters (Å, degrees): 11.173 3.314 5.577 90.00 108.67 90.00
Space group C2/m (No. 12)
One atom of each set of equivalent atoms:
Tm 0.115 0.000 0.319
Mo 0.148 0.500 0.868
C 0.000 0.500 0.000
C 0.231 0.000 0.755

=====

# 15
The following is a DFT calculation (SCAN) of a PBEsol-optimized structure of LaSNO2.

size of the total moment	0.00	Bohr magnetons per cell
N(E_F)	0.21	states/eV/f.u.
E_form (uncorrected)	-5.84	eV/f.u.

Lattice parameters (Å, degrees): 3.944 3.944 3.703 90.00 90.00 90.00
Space group P4/mmm (No. 123)
One atom of each set of equivalent atoms:
La 0.000 0.000 0.000
S 0.500 0.500 0.500
N 0.500 0.500 0.000
O 0.000 0.500 0.500

=====

# 16
The following is a DFT calculation (SCAN) of a PBEsol-optimized structure of Tl3Te.

size of the total moment	0.00	Bohr magnetons per cell
polymorph energy (0 for the lowest one)	0	meV per atom
N(E_F)	1.36	states/eV/f.u.
E_form (uncorrected)	-0.73	eV/f.u.

Lattice parameters (Å, degrees): 4.918 4.918 4.930 90.00 90.00 90.00
Space group P4/mmm (No. 123)
One atom of each set of equivalent atoms:
Tl 0.000 0.000 0.000
Tl 0.000 0.500 0.500
Te 0.500 0.500 0.000

=====

# 17
The following is a DFT calculation (SCAN) of a PBEsol-optimized structure of NaAgSn3.

size of the total moment	0.00	Bohr magnetons per cell
N(E_F)	2.29	states/eV/f.u.
energy of formation	0.308	eV per atom

Lattice parameters (Å, degrees): 5.340 5.340 5.340 90.00 90.00 90.00
Space group Pm-3m (No. 221)
One atom of each set of equivalent atoms:
Na 0.000 0.000 0.000
Ag 0.500 0.500 0.500
Sn 0.000 0.500 0.500

=====

# 18
The following is a DFT calculation (SCAN) of a PBEsol-optimized structure of CuPt.

size of the total moment	0.00	Bohr magnetons per cell
N(E_F)	1.27	states/eV/f.u.
energy of formation	-0.127	eV per atom

Lattice parameters (Å, degrees): 6.521 5.305 4.624 90.00 90.81 90.00
Space group P2/c (No. 13)
One atom of each set of equivalent atoms:
Cu 0.000 0.123 0.250
Cu 0.335 0.377 0.082
Pt 0.000 0.378 0.750
Pt 0.332 0.132 0.575

=====

# 19
The following is a DFT calculation (SCAN) of a PBEsol-optimized structure of AgW2Au.

size of the total moment	0.00	Bohr magnetons per cell
N(E_F)	1.36	states/eV/f.u.
energy of formation	0.587	eV per atom

Lattice parameters (Å, degrees): 4.043 4.043 7.794 90.00 90.00 90.00
Space group I-4m2 (No. 119)
One atom of each set of equivalent atoms:
Ag 0.000 0.000 0.000
W 0.000 0.000 0.500
W 0.000 0.500 0.750
Au 0.000 0.500 0.250

=====

# 20
The following is a DFT calculation (SCAN) of a PBEsol-optimized structure of Cd3Rh.

size of the total moment	0.00	Bohr magnetons per cell
N(E_F)	1.59	states/eV/f.u.
energy of formation	-0.054	eV per atom

Lattice parameters (Å, degrees): 5.782 7.835 3.118 90.00 90.00 90.00
Space group Cmmm (No. 65)
One atom of each set of equivalent atoms:
Cd 0.000 0.000 0.000
Cd 0.250 0.250 0.500
Rh 0.000 0.500 0.000